A plane-wave DFT calculation with PBE with a Hubbard U was carried out for a relaxed TaP2WF crystal. Values from VASP.

```
&SYSTEM
  ibrav = 0, nat = 5, ntyp = 4
/
ATOMIC_SPECIES
F 19.00 F.upf
W 183.84 W.upf
P 30.97 P.upf
Ta 180.95 Ta.upf
ATOMIC_POSITIONS angstrom
F 1.500 -0.589 1.138
W 0.000 0.000 0.000
P -0.109 2.103 1.232
Ta -0.189 0.514 3.937
P -1.581 -1.000 1.567
CELL_PARAMETERS angstrom
-3.161 -2.000 3.133
3.001 -1.178 2.275
-0.217 4.205 2.465
```

Density   7.88 g/cm3
M_tot   4.0 μB/f.u.
Electronic total energy   -30.314 eV/f.u.